The following is a SCAN calculation of a crystal of RuW3O relaxed with PBEsol, from Alexandria.

Properties
As for the density of states at the Fermi level: 3.4 states/eV/cell. The calculation puts the volume at 13.427 A^3/atom. The calculation puts the raw formation energy at 129 meV per atom.

abc: 4.064 4.064 4.064
angles: 90.00 90.00 90.00
Sites, in units of the cell vectors:
Ru: 0.000 0.000 0.000
W: 0.000 0.500 0.500
W: 0.500 0.000 0.500
W: 0.500 0.500 0.000
O: 0.500 0.500 0.500


The following is a SCAN calculation of a crystal of MnAlBr2 relaxed with PBEsol, from Alexandria.

Properties
As for the density of states at the Fermi level: 1.1 states/eV/cell. The calculation puts the volume at 22.257 A^3/atom. The energy relative to the lowest polymorph listed for this composition comes out at 0 meV per atom. The calculation puts the raw formation energy at -588 meV per atom.

abc: 8.885 8.885 8.885
angles: 22.36 22.36 22.36
Sites, in units of the cell vectors:
Mn: 0.000 0.000 0.000
Al: 0.263 0.263 0.263
Br: 0.528 0.528 0.528
Br: 0.728 0.728 0.728


The following is a SCAN calculation of a crystal of Sc2CrCu relaxed with PBEsol, from Alexandria.

Properties
As for the density of states at the Fermi level: 3.6 states/eV/cell. The calculation puts the volume at 17.752 A^3/atom. The energy relative to the lowest polymorph listed for this composition comes out at 407 meV per atom.

abc: 9.126 9.126 9.126
angles: 19.08 19.08 19.08
Sites, in units of the cell vectors:
Sc: 0.000 0.000 0.000
Sc: 0.230 0.230 0.230
Cr: 0.482 0.482 0.482
Cu: 0.745 0.745 0.745


The following is a SCAN calculation of a crystal of MgZrSe relaxed with PBEsol, from Alexandria.

Properties
As for the density of states at the Fermi level: 3.0 states/eV/cell. The calculation puts the volume at 21.910 A^3/atom. The energy relative to the lowest polymorph listed for this composition comes out at 290 meV per atom. The calculation puts the raw formation energy at -384 meV per atom.

abc: 4.529 4.529 3.701
angles: 90.00 90.00 120.00
Sites, in units of the cell vectors:
Mg: 0.000 0.000 0.000
Zr: 0.667 0.333 0.500
Se: 0.333 0.667 0.500


The following is a SCAN calculation of a crystal of Sr2ScSb relaxed with PBEsol, from Alexandria.

Properties
As for the density of states at the Fermi level: 2.0 states/eV/cell. The calculation puts the volume at 33.952 A^3/atom. The calculation puts the raw formation energy at -437 meV per atom.

abc: 6.904 6.904 6.904
angles: 145.38 132.84 59.81
Sites, in units of the cell vectors:
Sr: 0.000 0.000 0.000
Sr: 0.705 0.205 0.500
Sc: 0.299 0.799 0.500
Sb: 0.466 0.466 0.000


The following is a SCAN calculation of a crystal of Y4Mg3Cu2 relaxed with PBEsol, from Alexandria.

Properties
The calculation puts the total energy at -17.550 eV per atom. As for the density of states at the Fermi level: 5.9 states/eV/cell. The calculation puts the volume at 23.405 A^3/atom.

abc: 7.568 7.568 6.637
angles: 103.93 103.93 34.94
Sites, in units of the cell vectors:
Y: 0.076 0.076 0.336
Y: 0.274 0.274 0.808
Y: 0.726 0.726 0.192
Y: 0.924 0.924 0.664
Mg: 0.394 0.394 0.321
Mg: 0.500 0.500 0.000
Mg: 0.606 0.606 0.679
Cu: 0.110 0.110 0.938
Cu: 0.890 0.890 0.062


The following is a SCAN calculation of a crystal of LaZrIr2 relaxed with PBEsol, from Alexandria.

Properties
The calculation puts the total energy at -54.447 eV per atom. As for the density of states at the Fermi level: 2.7 states/eV/cell. The calculation puts the volume at 19.309 A^3/atom.

abc: 5.559 5.559 5.559
angles: 137.60 137.60 61.52
Sites, in units of the cell vectors:
La: 0.000 0.000 0.000
Zr: 0.750 0.250 0.500
Ir: 0.250 0.750 0.500
Ir: 0.500 0.500 0.000


The following is a SCAN calculation of a crystal of K2SrCl4 relaxed with PBEsol, from Alexandria.

Properties
As for the density of states at the Fermi level: 0.0 states/eV/cell. The calculation puts the volume at 29.153 A^3/atom. The energy relative to the lowest polymorph listed for this composition comes out at 52 meV per atom. The calculation puts the raw formation energy at -2374 meV per atom.

abc: 9.234 9.234 9.234
angles: 32.67 32.67 32.67
Sites, in units of the cell vectors:
K: 0.230 0.230 0.230
K: 0.770 0.770 0.770
Sr: 0.000 0.000 0.000
Cl: 0.111 0.111 0.111
Cl: 0.361 0.361 0.361
Cl: 0.639 0.639 0.639
Cl: 0.889 0.889 0.889


The following is a SCAN calculation of a crystal of LaHgMo2 relaxed with PBEsol, from Alexandria.

Properties
The calculation puts the total energy at -44.710 eV per atom. As for the density of states at the Fermi level: 3.1 states/eV/cell. The calculation puts the volume at 21.948 A^3/atom.

abc: 3.628 3.628 6.671
angles: 90.00 90.00 90.00
Sites, in units of the cell vectors:
La: 0.000 0.000 0.000
Hg: 0.000 0.000 0.500
Mo: 0.500 0.500 0.330
Mo: 0.500 0.500 0.670


The following is a SCAN calculation of a crystal of Li2CuNi relaxed with PBEsol, from Alexandria.

Properties
As for the density of states at the Fermi level: 1.8 states/eV/cell. The calculation puts the volume at 12.280 A^3/atom. The energy relative to the lowest polymorph listed for this composition comes out at 78 meV per atom.

abc: 2.469 2.469 8.591
angles: 90.00 90.00 110.35
Sites, in units of the cell vectors:
Li: 0.000 0.000 0.000
Li: 0.500 0.500 0.304
Cu: 0.000 0.000 0.544
Ni: 0.500 0.500 0.772


The following is a SCAN calculation of a crystal of ZrBe3Mo relaxed with PBEsol, from Alexandria.

Properties
The calculation puts the total energy at -13.753 eV per atom. As for the density of states at the Fermi level: 2.2 states/eV/cell. The calculation puts the volume at 15.114 A^3/atom.

abc: 4.228 4.228 4.228
angles: 90.00 90.00 90.00
Sites, in units of the cell vectors:
Zr: 0.000 0.000 0.000
Be: 0.000 0.000 0.500
Be: 0.000 0.500 0.000
Be: 0.500 0.000 0.000
Mo: 0.500 0.500 0.500


The following is a SCAN calculation of a crystal of LiCrIr2 relaxed with PBEsol, from Alexandria.

Properties
The calculation puts the total energy at -40.868 eV per atom. As for the density of states at the Fermi level: 3.4 states/eV/cell. The calculation puts the volume at 13.070 A^3/atom.

abc: 4.919 4.919 4.919
angles: 146.79 125.73 65.12
Sites, in units of the cell vectors:
Li: 0.000 0.000 0.000
Cr: 0.500 0.500 0.000
Ir: 0.255 0.755 0.500
Ir: 0.745 0.245 0.500